# 1
Compound: ZrIn2Pb2
Source: Alexandria via LeMat-Bulk
Functional: meta-GGA SCAN
Structure: single point on PBEsol structure

Summary:
* ΔE_f: 0.28 eV per atom

a = 4.2369 Å, b = 4.2369 Å, c = 15.2849 Å
α = 90.00°, β = 90.00°, γ = 90.00°
Closest atoms and distances in Å follow each position.
Space group I4/mmm (No. 139)
Unique sites:
Zr1 0.0000 0.0000 0.0000 (multiplicity 2)  8 In 3.29
In1 0.0000 0.0000 0.4113 (multiplicity 4)  1 In 2.71
Pb1 0.0000 0.5000 0.2500 (multiplicity 4)  4 Pb 3.00, 4 In 3.25

---

# 2
Compound: ZrIn2Pb
Source: Alexandria via LeMat-Bulk
Functional: meta-GGA SCAN
Structure: single point on PBEsol structure

Summary:
* ΔE_f: -0.13 eV per atom

a = 3.4582 Å, b = 4.4261 Å, c = 6.1598 Å
α = 90.00°, β = 90.00°, γ = 90.00°
Closest atoms and distances in Å follow each position.
Space group Pmmm (No. 47)
Unique sites:
Zr1 0.0000 0.0000 0.0000 (multiplicity 1)  2 Pb 3.08, 8 In 3.16
In1 0.5000 0.5000 0.2345 (multiplicity 2)  1 In 2.89, 4 Zr 3.16
Pb1 0.0000 0.0000 0.5000 (multiplicity 1)  2 Zr 3.08, 8 In 3.25

---

# 3
Compound: Zr2InPb
Source: Alexandria via LeMat-Bulk
Functional: meta-GGA SCAN
Structure: single point on PBEsol structure

Summary:
* ΔE_f: -0.07 eV per atom

a = 4.4118 Å, b = 4.5179 Å, c = 9.5840 Å
α = 90.00°, β = 90.00°, γ = 90.00°
Closest atoms and distances in Å follow each position.
Space group Cmm2 (No. 35)
Unique sites:
Zr1 0.0000 0.0000 0.0000 (multiplicity 2)  8 Zr 3.11-3.16, 4 Pb 3.29-3.33
Zr2 0.0000 0.5000 0.2288 (multiplicity 2)  8 Zr 3.11-3.16, 4 In 3.13-3.17
In1 0.0000 0.0000 0.4611 (multiplicity 2)  4 Zr 3.13-3.17, 4 In 3.16, 2 Pb 3.50
Pb1 0.0000 0.5000 0.7448 (multiplicity 2)  4 Pb 3.16, 4 Zr 3.29-3.33, 4 In 3.50-3.53

---

# 4
Compound: Zr2InPb
Source: Alexandria via LeMat-Bulk
Functional: meta-GGA SCAN
Structure: single point on PBEsol structure

Summary:
* ΔE_f: -0.39 eV per atom

a = 4.4855 Å, b = 4.4855 Å, c = 8.7197 Å
α = 90.00°, β = 90.00°, γ = 90.00°
Closest atoms and distances in Å follow each position.
Space group I4/mmm (No. 139)
Unique sites:
Zr1 0.0000 0.5000 0.2500 (multiplicity 4)  4 In 3.13, 4 Pb 3.13, 4 Zr 3.17
In1 0.0000 0.0000 0.0000 (multiplicity 2)  8 Zr 3.13, 4 Pb 3.17
Pb1 0.0000 0.0000 0.5000 (multiplicity 2)  8 Zr 3.13, 4 In 3.17

---

# 5
Compound: ZrInPb2
Source: Alexandria via LeMat-Bulk
Functional: meta-GGA SCAN
Structure: single point on PBEsol structure

Summary:
* ΔE_f: -0.03 eV per atom

a = 3.3326 Å, b = 5.3788 Å, c = 5.5626 Å
α = 90.00°, β = 90.00°, γ = 90.00°
Closest atoms and distances in Å follow each position.
Space group Pmmm (No. 47)
Unique sites:
Zr1 0.0000 0.0000 0.0000 (multiplicity 1)  4 Pb 3.16, 4 In 3.24, 2 Zr 3.33
In1 0.5000 0.0000 0.5000 (multiplicity 1)  4 Pb 3.16, 4 Zr 3.24, 2 In 3.33
Pb1 0.0000 0.5000 0.5000 (multiplicity 1)  4 In 3.16, 6 Pb 3.24-3.33
Pb2 0.5000 0.5000 0.0000 (multiplicity 1)  4 Zr 3.16, 6 Pb 3.24-3.33

---

# 6
Compound: Zr2InPb
Source: Alexandria via LeMat-Bulk
Functional: meta-GGA SCAN
Structure: single point on PBEsol structure

Summary:
* ΔE_f: -0.30 eV per atom

a = 3.7760 Å, b = 3.7760 Å, c = 6.2190 Å
α = 90.00°, β = 90.00°, γ = 90.00°
Closest atoms and distances in Å follow each position.
Space group P4/mmm (No. 123)
Unique sites:
Zr1 0.0000 0.0000 0.2493 (multiplicity 2)  4 Pb 3.09, 4 In 3.09, 2 Zr 3.10-3.12
In1 0.5000 0.5000 0.5000 (multiplicity 1)  8 Zr 3.09, 2 Pb 3.11
Pb1 0.5000 0.5000 0.0000 (multiplicity 1)  8 Zr 3.09, 2 In 3.11

---

# 7
Compound: ZrInPb2
Source: Alexandria via LeMat-Bulk
Functional: meta-GGA SCAN
Structure: single point on PBEsol structure

Summary:
* ΔE_f: -0.05 eV per atom

a = 4.8094 Å, b = 4.8094 Å, c = 4.2105 Å
α = 90.00°, β = 90.00°, γ = 90.00°
Closest atoms and distances in Å follow each position.
Space group P4/mmm (No. 123)
Unique sites:
Zr1 0.0000 0.0000 0.0000 (multiplicity 1)  8 Pb 3.20, 4 In 3.40
In1 0.5000 0.5000 0.0000 (multiplicity 1)  8 Pb 3.20, 4 Zr 3.40
Pb1 0.0000 0.5000 0.5000 (multiplicity 2)  4 Zr 3.20, 4 In 3.20, 4 Pb 3.40

---

# 8
Compound: ZrInPb2
Source: Alexandria via LeMat-Bulk
Functional: meta-GGA SCAN
Structure: single point on PBEsol structure

Summary:
* ΔE_f: 0.00 eV per atom

a = 3.2850 Å, b = 3.2850 Å, c = 33.3700 Å
α = 90.00°, β = 90.00°, γ = 120.00°
Closest atoms and distances in Å follow each position.
Space group R-3m (No. 166, hexagonal axes)
Unique sites:
Zr1 0.0000 0.0000 0.0000 (multiplicity 3)  6 Pb 3.20, 6 Zr 3.29
In1 0.0000 0.0000 0.5000 (multiplicity 3)  6 In 3.29, 6 Pb 3.53
Pb1 0.0000 0.0000 0.2559 (multiplicity 6)  3 Zr 3.20, 6 Pb 3.29, 3 In 3.53

---

# 9
Compound: In7Pd3
Source: Alexandria via LeMat-Bulk
Functional: meta-GGA SCAN
Structure: single point on PBEsol structure

Summary:
* ΔE_f: -0.42 eV per atom

a = 9.4102 Å, b = 9.4102 Å, c = 9.4102 Å
α = 90.00°, β = 90.00°, γ = 90.00°
Closest atoms and distances in Å follow each position.
Space group Im-3m (No. 229)
Unique sites:
In1 0.0000 0.2500 0.5000 (multiplicity 12)  4 Pd 2.75
In2 0.1622 0.1622 0.1622 (multiplicity 16)  3 Pd 2.78, 4 In 2.86-3.05
Pd1 0.0000 0.0000 0.3482 (multiplicity 12)  8 In 2.75-2.78, 1 Pd 2.86

---

# 10
Compound: PrInPd2
Source: Alexandria via LeMat-Bulk
Functional: meta-GGA SCAN
Structure: single point on PBEsol structure

Summary:
* ΔE_f: -0.74 eV per atom

a = 6.8482 Å, b = 6.8482 Å, c = 6.8482 Å
α = 90.00°, β = 90.00°, γ = 90.00°
Closest atoms and distances in Å follow each position.
Space group Fm-3m (No. 225)
Unique sites:
Pr1 0.0000 0.0000 0.0000 (multiplicity 4)  8 Pd 2.97
In1 0.0000 0.0000 0.5000 (multiplicity 4)  8 Pd 2.97
Pd1 0.2500 0.2500 0.2500 (multiplicity 8)  4 In 2.97, 4 Pr 2.97

---

# 11
Compound: Pr2InPd2
Source: Alexandria via LeMat-Bulk
Functional: meta-GGA SCAN
Structure: single point on PBEsol structure

Summary:
* ΔE_f: -0.89 eV per atom

a = 7.7303 Å, b = 7.7303 Å, c = 3.8866 Å
α = 90.00°, β = 90.00°, γ = 90.00°
Closest atoms and distances in Å follow each position.
Space group P4/mbm (No. 127)
Unique sites:
Pr1 0.1752 0.3248 0.0000 (multiplicity 4)  6 Pd 2.91-3.06
In1 0.0000 0.0000 0.5000 (multiplicity 2)  4 Pd 3.05
Pd1 0.1269 0.6269 0.5000 (multiplicity 4)  1 Pd 2.77, 6 Pr 2.91-3.06, 2 In 3.05

---

# 12
Compound: In2RePdPt
Source: Alexandria via LeMat-Bulk
Functional: meta-GGA SCAN
Structure: single point on PBEsol structure

Summary:
* ΔE_f: 1.39 eV per atom

a = 4.7810 Å, b = 4.7810 Å, c = 4.9306 Å
α = 90.00°, β = 90.00°, γ = 90.00°
Closest atoms and distances in Å follow each position.
Space group P4/mmm (No. 123)
Unique sites:
In1 0.0000 0.5000 0.0000 (multiplicity 2)  2 Pd 2.39
Re1 0.0000 0.0000 0.5000 (multiplicity 1)  4 Pt 3.38, 8 In 3.43
Pd1 0.5000 0.5000 0.0000 (multiplicity 1)  4 In 2.39, 2 Pt 2.47
Pt1 0.5000 0.5000 0.5000 (multiplicity 1)  2 Pd 2.47

---

# 13
Compound: Rb3InPd
Source: Alexandria via LeMat-Bulk
Functional: meta-GGA SCAN
Structure: single point on PBEsol structure

Summary:
* ΔE_f: 0.65 eV per atom

a = 6.6516 Å, b = 6.6516 Å, c = 6.6516 Å
α = 90.00°, β = 90.00°, γ = 90.00°
Closest atoms and distances in Å follow each position.
Space group Pm-3m (No. 221)
Unique sites:
Rb1 0.0000 0.0000 0.5000 (multiplicity 3)  2 In 3.33
In1 0.0000 0.0000 0.0000 (multiplicity 1)  6 Rb 3.33
Pd1 0.5000 0.5000 0.5000 (multiplicity 1)  12 Rb 4.70

---

# 14
Compound: In2ReSiPd
Source: Alexandria via LeMat-Bulk
Functional: meta-GGA SCAN
Structure: single point on PBEsol structure

Summary:
* energy relative to the elements, uncorrected: 0.6014 eV/atom

a = 5.1012 Å, b = 5.1012 Å, c = 4.5283 Å
α = 90.00°, β = 90.00°, γ = 90.00°
Closest atoms and distances in Å follow each position.
Space group P4/mmm (No. 123)
Unique sites:
In1 0.0000 0.5000 0.0000 (multiplicity 2)  2 Re 2.55
Re1 0.0000 0.0000 0.0000 (multiplicity 1)  2 Si 2.26
Si1 0.0000 0.0000 0.5000 (multiplicity 1)  2 Re 2.26
Pd1 0.5000 0.5000 0.5000 (multiplicity 1)  8 In 3.41, 4 Si 3.61

---

# 15
Compound: YIn2RePd
Source: Alexandria via LeMat-Bulk
Functional: meta-GGA SCAN
Structure: single point on PBEsol structure

Summary:
* ΔE_f: 1.79 eV per atom

a = 5.5637 Å, b = 5.5637 Å, c = 4.7807 Å
α = 90.00°, β = 90.00°, γ = 90.00°
Closest atoms and distances in Å follow each position.
Space group P4/mmm (No. 123)
Unique sites:
Y1 0.0000 0.0000 0.0000 (multiplicity 1)  2 Pd 2.39
In1 0.0000 0.5000 0.0000 (multiplicity 2)  2 Y 2.78
Re1 0.5000 0.5000 0.5000 (multiplicity 1)  8 In 3.67, 4 Pd 3.93
Pd1 0.0000 0.0000 0.5000 (multiplicity 1)  2 Y 2.39

---

# 16
Compound: In2PdRu
Source: Alexandria via LeMat-Bulk
Functional: meta-GGA SCAN
Structure: single point on PBEsol structure

Summary:
* ΔE_f: -0.20 eV per atom

a = 6.4155 Å, b = 6.4155 Å, c = 6.4155 Å
α = 90.00°, β = 90.00°, γ = 90.00°
Closest atoms and distances in Å follow each position.
Space group Fm-3m (No. 225)
Unique sites:
In1 0.2500 0.2500 0.2500 (multiplicity 8)  4 Ru 2.78, 4 Pd 2.78
Pd1 0.0000 0.0000 0.0000 (multiplicity 4)  8 In 2.78
Ru1 0.0000 0.0000 0.5000 (multiplicity 4)  8 In 2.78

---

# 17
Compound: ZnInPdS2
Source: Alexandria via LeMat-Bulk
Functional: meta-GGA SCAN
Structure: single point on PBEsol structure

Summary:
* energy relative to the elements, uncorrected: 0.2687 eV/atom

a = 4.5709 Å, b = 4.5709 Å, c = 4.8300 Å
α = 90.00°, β = 90.00°, γ = 90.00°
Closest atoms and distances in Å follow each position.
Space group P4/mmm (No. 123)
Unique sites:
Zn1 0.0000 0.0000 0.0000 (multiplicity 1)  4 S 2.29, 2 Pd 2.41
In1 0.5000 0.5000 0.5000 (multiplicity 1)  4 Pd 3.23, 8 S 3.32
Pd1 0.0000 0.0000 0.5000 (multiplicity 1)  2 Zn 2.41
S1 0.0000 0.5000 0.0000 (multiplicity 2)  2 Zn 2.29

---

# 18
Compound: InSb3Pd
Source: Alexandria via LeMat-Bulk
Functional: meta-GGA SCAN
Structure: single point on PBEsol structure

Summary:
* relative energy among the computed polymorphs: 0.000 eV/atom
* energy relative to the elements, uncorrected: 0.3402 eV/atom

a = 5.1918 Å, b = 5.1918 Å, c = 5.1918 Å
α = 90.00°, β = 90.00°, γ = 90.00°
Closest atoms and distances in Å follow each position.
Space group Pm-3m (No. 221)
Unique sites:
In1 0.0000 0.0000 0.0000 (multiplicity 1)  12 Sb 3.67
Sb1 0.0000 0.5000 0.5000 (multiplicity 3)  2 Pd 2.60
Pd1 0.5000 0.5000 0.5000 (multiplicity 1)  6 Sb 2.60

---

# 19
Compound: InSiSbPd2
Source: Alexandria via LeMat-Bulk
Functional: meta-GGA SCAN
Structure: single point on PBEsol structure

Summary:
* energy relative to the elements, uncorrected: 1.0173 eV/atom

a = 4.8682 Å, b = 4.8682 Å, c = 5.3940 Å
α = 90.00°, β = 90.00°, γ = 90.00°
Closest atoms and distances in Å follow each position.
Space group P4/mmm (No. 123)
Unique sites:
In1 0.0000 0.0000 0.0000 (multiplicity 1)  4 Pd 2.43, 2 Sb 2.70
Si1 0.5000 0.5000 0.5000 (multiplicity 1)  4 Sb 3.44, 8 Pd 3.63
Sb1 0.0000 0.0000 0.5000 (multiplicity 1)  2 In 2.70
Pd1 0.0000 0.5000 0.0000 (multiplicity 2)  2 In 2.43

---

# 20
Compound: InSbPdW2
Source: Alexandria via LeMat-Bulk
Functional: meta-GGA SCAN
Structure: single point on PBEsol structure

Summary:
* energy relative to the elements, uncorrected: 2.4800 eV/atom

a = 4.8613 Å, b = 4.8613 Å, c = 5.2325 Å
α = 90.00°, β = 90.00°, γ = 90.00°
Closest atoms and distances in Å follow each position.
Space group P4/mmm (No. 123)
Unique sites:
In1 0.0000 0.0000 0.0000 (multiplicity 1)  2 Sb 2.62
Sb1 0.0000 0.0000 0.5000 (multiplicity 1)  4 W 2.43, 2 In 2.62
Pd1 0.5000 0.5000 0.0000 (multiplicity 1)  4 In 3.44, 8 W 3.57
W1 0.0000 0.5000 0.5000 (multiplicity 2)  2 Sb 2.43

---

Calculated spin magnetization, 0.000, 0.000, 0.000, 0.000, 0.000, 0.000, 0.000, 0.000, 0.000, 0.000, 0.000, 0.639, 0.070, 0.000, 0.689, 0.000, 0.000, 0.000, 0.000, 0.386 μB/atom (same order as the records).